YSc2Pt after structural relaxation. Source: Alexandria, functional PBE-GGA.

abc: 3.4683 5.0392 10.5414
angles: 90.00 90.00 90.00
Closest atoms and distances in Å follow each position.
Space group Immm (No. 71)
Symmetry-distinct sites (fractional):
Y: 0.0000 0.0000 0.0000 x2  4 Pt 3.06, 4 Sc 3.33
Sc: 0.0000 0.5000 0.2060 x4  2 Pt 2.78
Pt: 0.0000 0.0000 0.5000 x2  4 Sc 2.78, 4 Y 3.06

- formation enthalpy at 0 K (meV/atom) = -658

=====

Np3U2PaAs6 after structural relaxation. Source: Alexandria, functional PBE-GGA.

abc: 7.1458 12.3678 7.0439
angles: 90.00 109.75 90.00
Closest atoms and distances in Å follow each position.
Space group C2/m (No. 12)
Symmetry-distinct sites (fractional):
Np: 0.0000 0.0000 0.0000 x2  6 As 2.90-2.91
Np: 0.0000 0.3335 0.0000 x4  6 As 2.90-2.91
U: 0.0000 0.1668 0.5000 x4  6 As 2.90
Pa: 0.0000 0.5000 0.5000 x2  6 As 2.90
As: 0.2496 0.0000 0.7489 x4  1 Pa 2.90, 2 U 2.90, 3 Np 2.90-2.91
As: 0.2502 0.1666 0.2507 x8  2 U 2.90, 1 Pa 2.90, 3 Np 2.90-2.91

- formation enthalpy at 0 K (meV/atom) = -765

=====

NpScNi2 after structural relaxation. Source: Alexandria, functional PBE-GGA.

abc: 4.7278 4.7278 3.0269
angles: 90.00 90.00 90.00
Closest atoms and distances in Å follow each position.
Space group P4/mmm (No. 123)
Symmetry-distinct sites (fractional):
Np: 0.0000 0.0000 0.0000 x1  8 Ni 2.81, 2 Np 3.03
Sc: 0.5000 0.5000 0.0000 x1  8 Ni 2.81, 2 Sc 3.03
Ni: 0.0000 0.5000 0.5000 x2  4 Sc 2.81, 4 Np 2.81, 2 Ni 3.03

- formation enthalpy at 0 K (meV/atom) = -146

=====

SrYHg4 after structural relaxation. Source: Alexandria, functional PBE-GGA.

abc: 8.6075 8.6075 8.6075
angles: 90.00 90.00 90.00
Closest atoms and distances in Å follow each position.
Space group F-43m (No. 216)
Symmetry-distinct sites (fractional):
Sr: 0.0000 0.0000 0.0000 x4  12 Hg 3.57, 4 Y 3.73
Y: 0.2500 0.2500 0.7500 x4  12 Hg 3.57, 4 Sr 3.73
Hg: 0.1246 0.1246 0.3754 x16  6 Hg 3.03-3.05

- formation enthalpy at 0 K (meV/atom) = -253

=====

Nd2SeCl2 after structural relaxation. Source: Alexandria, functional PBE-GGA.

abc: 7.2340 4.1668 10.0609
angles: 90.00 90.44 90.00
Closest atoms and distances in Å follow each position.
Space group C2/m (No. 12)
Symmetry-distinct sites (fractional):
Nd: 0.1688 0.0000 0.1621 x4  3 Se 2.91, 3 Cl 2.92
Se: 0.0000 0.5000 0.0000 x2  6 Nd 2.91
Cl: 0.1626 0.0000 0.6739 x4  3 Nd 2.92

- formation energy (no corrections) (meV/atom) = -1958

=====

LiAlCrMo after structural relaxation. Source: Alexandria, functional PBE-GGA.

abc: 5.9943 5.9943 5.9943
angles: 90.00 90.00 90.00
Closest atoms and distances in Å follow each position.
Space group F-43m (No. 216)
Symmetry-distinct sites (fractional):
Li: 0.0000 0.0000 0.0000 x4  4 Mo 2.60, 4 Al 2.60
Al: 0.2500 0.2500 0.2500 x4  4 Cr 2.60, 4 Li 2.60
Cr: 0.0000 0.0000 0.5000 x4  4 Mo 2.60, 4 Al 2.60
Mo: 0.2500 0.2500 0.7500 x4  4 Cr 2.60, 4 Li 2.60

- formation enthalpy at 0 K (meV/atom) = 87